No. 1
{"formula": "TlSnP2Cl", "functional": "meta-GGA SCAN", "state": "PBEsol geometry", "crystal_system": "tetragonal", "total_magnetization_mub_per_atom": 0.23, "lattice": [[5.023, 0.000, 0.000], [0.000, 5.023, 0.000], [0.000, 0.000, 5.303]], "species": ["Tl", "Sn", "P", "P", "Cl"], "fractional_positions": [[0.000, 0.000, 0.000], [0.500, 0.500, 0.500], [0.000, 0.500, 0.500], [0.500, 0.000, 0.500], [0.500, 0.500, 0.000]]}


No. 2
{"formula": "YSnP2Cl", "functional": "meta-GGA SCAN", "state": "PBEsol geometry", "crystal_system": "tetragonal", "total_magnetization_mub_per_atom": 0.00, "lattice": [[4.974, 0.000, 0.000], [0.000, 4.974, 0.000], [0.000, 0.000, 4.934]], "species": ["Y", "Sn", "P", "P", "Cl"], "fractional_positions": [[0.000, 0.000, 0.000], [0.500, 0.500, 0.500], [0.000, 0.500, 0.500], [0.500, 0.000, 0.500], [0.500, 0.500, 0.000]]}


No. 3
{"formula": "SrP2Cl", "functional": "meta-GGA SCAN", "state": "PBEsol geometry", "relative_energy_ev_per_atom": 0.301, "crystal_system": "tetragonal", "total_magnetization_mub_per_atom": 0.00, "lattice": [[4.351, 0.000, 0.000], [0.000, 4.351, 0.000], [0.000, 0.000, 5.585]], "species": ["Sr", "P", "P", "Cl"], "fractional_positions": [[0.000, 0.000, 0.000], [0.500, 0.500, 0.181], [0.500, 0.500, 0.819], [0.000, 0.000, 0.500]]}


No. 4
{"formula": "SrP2Cl", "functional": "meta-GGA SCAN", "state": "PBEsol geometry", "relative_energy_ev_per_atom": 0.039, "crystal_system": "monoclinic", "total_magnetization_mub_per_atom": 0.00, "lattice": [[3.545, 0.000, 0.000], [0.000, 5.955, 0.000], [-0.139, 0.000, 4.536]], "species": ["Sr", "P", "P", "Cl"], "fractional_positions": [[0.000, 0.000, 0.000], [0.243, 0.500, 0.849], [0.757, 0.500, 0.151], [0.500, 0.000, 0.500]]}


No. 5
{"formula": "SrPCl4", "functional": "meta-GGA SCAN", "state": "PBEsol geometry", "crystal_system": "cubic", "total_magnetization_mub_per_atom": 0.84, "lattice": [[0.000, 4.161, 4.161], [4.161, 0.000, 4.161], [4.161, 4.161, 0.000]], "species": ["Sr", "P", "Cl", "Cl", "Cl", "Cl"], "fractional_positions": [[0.000, 0.000, 0.000], [0.250, 0.250, 0.250], [0.124, 0.625, 0.625], [0.625, 0.124, 0.625], [0.625, 0.625, 0.124], [0.625, 0.625, 0.625]]}


No. 6
{"formula": "SrPCl", "functional": "meta-GGA SCAN", "state": "PBEsol geometry", "crystal_system": "tetragonal", "total_magnetization_mub_per_atom": 0.00, "lattice": [[-1.705, 1.705, 6.868], [1.705, -1.705, 6.868], [1.705, 1.705, -6.868]], "species": ["Sr", "P", "Cl"], "fractional_positions": [[0.000, 0.000, 0.000], [0.342, 0.342, 0.000], [0.613, 0.613, 0.000]]}


For each record above, in turn, the calculated ΔE_f (raw) values are 1.92, -0.53, -3.20, -4.25, -1.77, -2.69 eV per formula unit.